(1)
First-principles (GGA-PBE) data for CdNi3Pt6 after structural relaxation, as listed in Alexandria via LeMat-Bulk.

Structure (extended XYZ):
```
20
Lattice="8.5428 0.0000 0.0000 0.0000 3.9344 0.0000 -0.3152 0.0000 8.7712" Properties=species:S:1:pos:R:3 pbc="T T T"
Cd 0.3497 0.9836 3.4925
Cd 7.8779 2.9508 5.2787
Ni 2.1730 0.9836 0.0774
Ni 2.7189 2.9508 7.1287
Ni 3.6429 0.9836 5.3195
Ni 4.5846 2.9508 3.4517
Ni 5.5087 0.9836 1.6425
Ni 6.0545 2.9508 8.6937
Pt 0.1972 2.9508 7.9504
Pt 1.3106 2.9508 1.7491
Pt 1.2192 0.9836 6.2775
Pt 2.1903 2.9508 4.4998
Pt 3.0894 0.9836 2.6697
Pt 3.9065 2.9508 0.8804
Pt 4.3210 0.9836 7.8908
Pt 5.1382 2.9508 6.1015
Pt 6.0372 0.9836 4.2714
Pt 7.0084 2.9508 2.4937
Pt 6.9170 0.9836 7.0221
Pt 8.0304 0.9836 0.8208
```

Computed properties:
The total energy comes out at -5.5558 eV/atom. The space group is P2_1/m (11).


(2)
First-principles (GGA-PBE) data for TiTlCd2 after structural relaxation, as listed in Alexandria via LeMat-Bulk.

Structure (extended XYZ):
```
4
Lattice="0.0000 3.5590 3.5590 3.5590 0.0000 3.5590 3.5590 3.5590 0.0000" Properties=species:S:1:pos:R:3 pbc="T T T"
Ti 0.0000 0.0000 0.0000
Tl 3.5590 3.5590 3.5590
Cd 1.7795 1.7795 1.7795
Cd 5.3384 5.3384 5.3384
```

Computed properties:
The total energy comes out at -2.6786 eV/atom. The space group is Fm-3m (225). The value obtained for the energy above the lowest structure with this stoichiometry is 0.2717 eV/atom.


(3)
First-principles (GGA-PBE) data for ScCd2Hg after structural relaxation, as listed in Alexandria via LeMat-Bulk.

Structure (extended XYZ):
```
4
Lattice="-1.8459 2.4178 5.0337 1.8459 -2.4178 5.0337 1.8459 2.4178 -5.0337" Properties=species:S:1:pos:R:3 pbc="T T T"
Sc 0.0000 0.0000 0.0000
Cd 1.8459 0.0000 2.5402
Cd 0.0000 2.4178 2.4935
Hg 0.0000 0.0000 5.0337
```

Computed properties:
The total energy comes out at -2.2662 eV/atom. The space group is Immm (71).


(4)
First-principles (GGA-PBE) data for NaAuSe3 after structural relaxation, as listed in Alexandria via LeMat-Bulk.

Structure (extended XYZ):
```
5
Lattice="5.0842 0.0000 0.0000 0.0000 5.0842 0.0000 0.0000 0.0000 5.0842" Properties=species:S:1:pos:R:3 pbc="T T T"
Na 0.0000 0.0000 0.0000
Au 2.5421 2.5421 2.5421
Se 0.0000 0.0000 2.5421
Se 0.0000 2.5421 0.0000
Se 2.5421 0.0000 0.0000
```

Computed properties:
Its uncorrected formation energy is 4.4 eV/f.u. The total energy comes out at -2.1256 eV/atom. The space group is Pm-3m (221). The value obtained for the energy above the lowest structure with this stoichiometry is 1.2624 eV/atom.


(5)
First-principles (GGA-PBE) data for Co2CuPtN after structural relaxation, as listed in Alexandria via LeMat-Bulk.

Structure (extended XYZ):
```
5
Lattice="3.7449 0.0000 0.0000 0.0000 3.7449 0.0000 0.0000 0.0000 4.1787" Properties=species:S:1:pos:R:3 pbc="T T T"
Co 0.0000 1.8724 0.0000
Co 1.8724 0.0000 0.0000
Cu 0.0000 0.0000 2.0894
Pt 1.8724 1.8724 2.0894
N 1.8724 1.8724 0.0000
```

Computed properties:
Its uncorrected formation energy is 0.9 eV/f.u. The total energy comes out at -6.3555 eV/atom. The space group is P4/mmm (123). The value obtained for the energy above the lowest structure with this stoichiometry is 0.1144 eV/atom.


(6)
First-principles (GGA-PBE) data for Ba2NdPaO6 after structural relaxation, as listed in Alexandria via LeMat-Bulk.

Structure (extended XYZ):
```
10
Lattice="0.0000 4.5166 4.5166 4.5166 0.0000 4.5166 4.5166 4.5166 0.0000" Properties=species:S:1:pos:R:3 pbc="T T T"
Ba 2.2583 2.2583 2.2583
Ba 6.7750 6.7750 6.7750
Nd 0.0000 0.0000 0.0000
Pa 4.5166 4.5166 4.5166
O 4.5166 4.5166 2.3369
O 4.5166 2.3369 4.5166
O 6.6964 4.5166 4.5166
O 2.3369 4.5166 4.5166
O 4.5166 6.6964 4.5166
O 4.5166 4.5166 6.6964
```

Computed properties:
Its uncorrected formation energy is -32.3 eV/f.u. The total energy comes out at -8.0139 eV/atom. The space group is Fm-3m (225).


(7)
First-principles (GGA-PBE) data for HfTa2Ni9 after structural relaxation, as listed in Alexandria via LeMat-Bulk.

Structure (extended XYZ):
```
12
Lattice="3.7034 0.0000 0.0000 0.0000 3.7034 0.0000 0.0000 0.0000 11.0876" Properties=species:S:1:pos:R:3 pbc="T T T"
Hf 0.0000 0.0000 0.0000
Ta 0.0000 0.0000 3.7081
Ta 0.0000 0.0000 7.3795
Ni 0.0000 1.8517 1.9072
Ni 0.0000 1.8517 5.5438
Ni 0.0000 1.8517 9.1804
Ni 1.8517 0.0000 1.9072
Ni 1.8517 0.0000 5.5438
Ni 1.8517 0.0000 9.1804
Ni 1.8517 1.8517 0.0000
Ni 1.8517 1.8517 3.7323
Ni 1.8517 1.8517 7.3553
```

Computed properties:
The total energy comes out at -7.4371 eV/atom. The space group is P4/mmm (123).


(8)
First-principles (GGA-PBE) data for LaSbPd2Se after structural relaxation, as listed in Alexandria via LeMat-Bulk.

Structure (extended XYZ):
```
5
Lattice="4.7339 0.0000 0.0000 0.0000 4.7339 0.0000 0.0000 0.0000 5.7456" Properties=species:S:1:pos:R:3 pbc="T T T"
La 0.0000 0.0000 0.0000
Sb 2.3669 2.3669 0.0000
Pd 0.0000 2.3669 2.8728
Pd 2.3669 0.0000 2.8728
Se 2.3669 2.3669 2.8728
```

Computed properties:
Its uncorrected formation energy is -1.9 eV/f.u. The total energy comes out at -4.9731 eV/atom. The space group is P4/mmm (123).


(9)
First-principles (GGA-PBE) data for SiRuBr2 after structural relaxation, as listed in Alexandria via LeMat-Bulk.

Structure (extended XYZ):
```
4
Lattice="1.8161 1.0485 8.5541 -1.8161 1.0485 8.5541 0.0000 -2.0970 8.5541" Properties=species:S:1:pos:R:3 pbc="T T T"
Si 0.0000 0.0000 0.0000
Ru 0.0000 0.0000 12.8311
Br 0.0000 0.0000 2.8592
Br 0.0000 0.0000 22.8030
```

Computed properties:
Its uncorrected formation energy is 2.6 eV/f.u. The total energy comes out at -3.8736 eV/atom. The space group is R-3m (166). The value obtained for the energy above the lowest structure with this stoichiometry is 0.7238 eV/atom.


(10)
First-principles (GGA-PBE) data for TmPaAs2N after structural relaxation, as listed in Alexandria via LeMat-Bulk.

Structure (extended XYZ):
```
10
Lattice="3.9535 0.0000 0.0000 0.0000 3.9535 0.0000 0.0000 0.0000 13.4611" Properties=species:S:1:pos:R:3 pbc="T T T"
Tm 0.9884 0.9884 1.3975
Tm 2.9651 2.9651 12.0635
Pa 0.9884 0.9884 7.9199
Pa 2.9651 2.9651 5.5412
As 0.9884 0.9884 4.2095
As 0.9884 0.9884 11.9213
As 2.9651 2.9651 1.5398
As 2.9651 2.9651 9.2516
N 0.9884 2.9651 6.7305
N 2.9651 0.9884 6.7305
```

Computed properties:
Its uncorrected formation energy is -6.3 eV/f.u. The total energy comes out at -7.5755 eV/atom. The space group is P4/nmm (129).


(11)
First-principles (GGA-PBE) data for KNiBr2 after structural relaxation, as listed in Alexandria via LeMat-Bulk.

Structure (extended XYZ):
```
4
Lattice="4.8258 0.0000 0.0000 0.0000 4.3907 0.0000 -2.3815 0.0000 6.2125" Properties=species:S:1:pos:R:3 pbc="T T T"
K 0.0000 0.0000 0.0000
Ni 0.0256 2.1954 4.3215
Br 0.0234 0.0000 3.5080
Br 2.4122 2.1954 0.4938
```

Computed properties:
Its uncorrected formation energy is -3.0 eV/f.u. The total energy comes out at -3.3021 eV/atom. The space group is Pm (6). The value obtained for the energy above the lowest structure with this stoichiometry is 0.0225 eV/atom.


(12)
First-principles (GGA-PBE) data for YBe2Co2B after structural relaxation, as listed in Alexandria via LeMat-Bulk.

Structure (extended XYZ):
```
6
Lattice="3.7687 0.0000 0.0000 0.0000 3.7687 0.0000 0.0000 0.0000 5.1698" Properties=species:S:1:pos:R:3 pbc="T T T"
Y 0.0000 0.0000 0.0000
Be 1.8844 1.8844 1.2849
Be 1.8844 1.8844 3.8848
Co 0.0000 1.8844 2.5849
Co 1.8844 0.0000 2.5849
B 0.0000 0.0000 2.5849
```

Computed properties:
The total energy comes out at -6.1109 eV/atom. The space group is P4/mmm (123).


(13)
First-principles (GGA-PBE) data for MgMnAg2 after structural relaxation, as listed in Alexandria via LeMat-Bulk.

Structure (extended XYZ):
```
4
Lattice="3.1014 0.0000 0.0000 0.0000 3.8388 0.0000 0.0000 0.0000 5.9379" Properties=species:S:1:pos:R:3 pbc="T T T"
Mg 0.0000 0.0000 0.0000
Mn 1.5507 1.9194 1.6171
Ag 0.0000 0.0000 2.9186
Ag 1.5507 1.9194 4.5314
```

Computed properties:
The total energy comes out at -4.0175 eV/atom. The space group is Pmm2 (25).


(14)
First-principles (GGA-PBE) data for SrV2B after structural relaxation, as listed in Alexandria via LeMat-Bulk.

Structure (extended XYZ):
```
8
Lattice="0.0000 4.5541 4.5541 4.5541 0.0000 4.5541 4.5541 4.5541 0.0000" Properties=species:S:1:pos:R:3 pbc="T T T"
Sr 1.1385 1.1385 1.1385
Sr 7.9697 7.9697 7.9697
V 4.5541 2.2771 2.2771
V 2.2771 4.5541 2.2771
V 2.2771 2.2771 4.5541
V 4.5541 4.5541 4.5541
B 3.4156 3.4156 3.4156
B 5.6927 5.6927 5.6927
```

Computed properties:
The total energy comes out at -5.8495 eV/atom. The space group is Fd-3m (227).


(15)
First-principles (GGA-PBE) data for Ce2SnTe after structural relaxation, as listed in Alexandria via LeMat-Bulk.

Structure (extended XYZ):
```
4
Lattice="0.0000 3.8525 3.8525 3.8525 0.0000 3.8525 3.8525 3.8525 0.0000" Properties=species:S:1:pos:R:3 pbc="T T T"
Ce 1.9263 1.9263 1.9263
Ce 5.7788 5.7788 5.7788
Sn 0.0000 0.0000 0.0000
Te 3.8525 3.8525 3.8525
```

Computed properties:
Its uncorrected formation energy is -3.3 eV/f.u. The total energy comes out at -5.5683 eV/atom. The space group is Fm-3m (225). The value obtained for the energy above the lowest structure with this stoichiometry is 0.1620 eV/atom.


(16)
First-principles (GGA-PBE) data for Dy6Bi3Au after structural relaxation, as listed in Alexandria via LeMat-Bulk.

Structure (extended XYZ):
```
20
Lattice="5.6103 -7.7694 0.0000 5.6103 7.7694 0.0000 0.0000 0.0000 7.2154" Properties=species:S:1:pos:R:3 pbc="T T T"
Dy 5.6103 7.5639 3.6077
Dy 3.6994 3.5880 0.3722
Dy 3.4652 0.9505 4.8041
Dy 5.6103 3.8927 4.2268
Dy 3.4652 -0.9505 1.1964
Dy 7.5212 3.5880 0.3722
Dy 3.6994 -3.5880 3.9799
Dy 7.7554 0.9505 4.8041
Dy 5.6103 -3.8927 0.6191
Dy 7.7554 -0.9505 1.1964
Dy 7.5212 -3.5880 3.9799
Dy 5.6103 -7.5639 0.0000
Bi 2.0129 1.6291 2.0642
Bi 2.0129 -1.6291 5.6719
Bi 5.6103 1.0709 7.0843
Bi 5.6103 -1.0709 3.4766
Bi 9.2077 1.6291 2.0642
Bi 9.2077 -1.6291 5.6719
Au 5.6103 5.3558 1.7020
Au 5.6103 -5.3558 5.3097
```

Computed properties:
The total energy comes out at -4.7556 eV/atom. The space group is Cmc2_1 (36).


(17)
First-principles (GGA-PBE) data for NaTeHI2 after structural relaxation, as listed in Alexandria via LeMat-Bulk.

Structure (extended XYZ):
```
5
Lattice="6.0623 0.0000 0.0000 0.0000 6.0623 0.0000 0.0000 0.0000 6.1713" Properties=species:S:1:pos:R:3 pbc="T T T"
Na 0.0000 0.0000 0.0000
Te 0.0000 0.0000 3.0856
H 3.0311 3.0311 3.0856
I 0.0000 3.0311 0.0000
I 3.0311 0.0000 0.0000
```

Computed properties:
The total energy comes out at -1.6555 eV/atom. The space group is P4/mmm (123). The value obtained for the energy above the lowest structure with this stoichiometry is 0.6301 eV/atom.


(18)
First-principles (GGA-PBE) data for Li4MoBr after structural relaxation, as listed in Alexandria via LeMat-Bulk.

Structure (extended XYZ):
```
6
Lattice="0.0000 3.8684 3.8684 3.8684 0.0000 3.8684 3.8684 3.8684 0.0000" Properties=species:S:1:pos:R:3 pbc="T T T"
Li 0.9525 0.9525 0.9525
Li 2.9159 2.9159 0.9525
Li 2.9159 0.9525 2.9159
Li 0.9525 2.9159 2.9159
Mo 5.8026 5.8026 5.8026
Br 3.8684 3.8684 3.8684
```

Computed properties:
Its uncorrected formation energy is 2.9 eV/f.u. The total energy comes out at -2.8738 eV/atom. The space group is F-43m (216).


(19)
First-principles (GGA-PBE) data for HSeSCl2 after structural relaxation, as listed in Alexandria via LeMat-Bulk.

Structure (extended XYZ):
```
5
Lattice="3.7595 0.0000 0.0000 0.0000 3.7595 0.0000 0.0000 0.0000 8.4571" Properties=species:S:1:pos:R:3 pbc="T T T"
H 0.0000 0.0000 0.0000
Se 1.8798 1.8798 4.2286
S 0.0000 0.0000 4.2286
Cl 0.0000 1.8798 0.0000
Cl 1.8798 0.0000 0.0000
```

Computed properties:
The total energy comes out at -2.3990 eV/atom. The space group is P4/mmm (123). The value obtained for the energy above the lowest structure with this stoichiometry is 0.0000 eV/atom.


(20)
First-principles (GGA-PBE) data for MgZrBr2 after structural relaxation, as listed in Alexandria via LeMat-Bulk.

Structure (extended XYZ):
```
4
Lattice="-1.6704 2.3831 6.6762 1.6704 -2.3831 6.6762 1.6704 2.3831 -6.6762" Properties=species:S:1:pos:R:3 pbc="T T T"
Mg 0.0000 0.0000 0.0000
Zr 1.6704 0.0000 2.6398
Br 0.0000 0.0000 4.9253
Br 0.0000 2.3831 2.1713
```

Computed properties:
Its uncorrected formation energy is -1.8 eV/f.u. The total energy comes out at -3.8315 eV/atom. The space group is Imm2 (44). The value obtained for the energy above the lowest structure with this stoichiometry is 0.2771 eV/atom.